This record from Alexandria via LeMat-Bulk describes crystalline Tl6Br5F at its relaxed geometry. The functional is PBE.

The structure in POSCAR format:
```
Tl6Br5F
1.0
-1.755 2.704 -7.454
7.513 -2.480 1.834
-3.842 -7.168 -0.168
Tl Br F
6 5 1
Direct
0.398 0.085 0.244
0.915 0.602 0.756
0.198 0.198 0.793
0.802 0.802 0.207
0.085 0.398 0.244
0.602 0.915 0.756
0.821 0.179 0.500
0.660 0.340 0.000
0.500 0.500 0.500
0.340 0.660 0.000
0.179 0.821 0.500
0.000 0.000 0.000
```

Calculated values
As for the formation energy without anion corrections: -0.9841 eV/atom.


This record from Alexandria via LeMat-Bulk describes crystalline BeCdTc at its relaxed geometry. The functional is PBE.

The structure in POSCAR format:
```
BeCdTc
1.0
-2.430 0.542 1.283
1.812 -1.807 1.138
2.849 4.941 3.307
Be Tc Cd
1 1 1
Direct
0.000 0.000 0.976
0.333 0.667 0.702
0.667 0.333 0.323
```

Calculated values
The calculation puts the formation energy at 0.4060 eV/atom. The calculation puts the energy relative to the lowest polymorph listed for this composition at 0.24 eV/f.u.


This record from Alexandria via LeMat-Bulk describes crystalline Ba3NdGe2O8 at its relaxed geometry. The functional is PBE.

The structure in POSCAR format:
```
Ba3NdGe2O8
1.0
5.978 0.000 0.000
-2.989 5.177 0.000
0.000 0.000 7.968
Ba Nd Ge O
3 1 2 8
Direct
0.333 0.667 0.684
0.667 0.333 0.316
0.000 0.000 0.000
0.000 0.000 0.500
0.333 0.667 0.214
0.667 0.333 0.786
0.333 0.667 0.995
0.667 0.333 0.005
0.173 0.827 0.300
0.827 0.173 0.700
0.173 0.345 0.300
0.827 0.655 0.700
0.655 0.827 0.300
0.345 0.173 0.700
```

Calculated values
As for the formation energy without anion corrections: -2.3626 eV/atom.


This record from Alexandria via LeMat-Bulk describes crystalline Rb2Ho2F7 at its relaxed geometry. The functional is PBE.

The structure in POSCAR format:
```
Rb2Ho2F7
1.0
5.561 -0.003 -0.061
0.003 7.018 0.003
-0.407 -0.002 5.546
Rb Ho F
2 2 7
Direct
0.739 0.500 0.739
0.261 0.500 0.261
0.728 0.000 0.272
0.272 0.000 0.728
0.000 0.183 0.500
0.500 0.817 0.000
0.000 0.817 0.500
0.500 0.183 0.000
0.000 0.000 0.000
0.500 0.821 0.500
0.500 0.179 0.500
```

Calculated values
As for the formation energy without anion corrections: -3.4660 eV/atom.


This record from Alexandria via LeMat-Bulk describes crystalline PrAl4Pd2 at its relaxed geometry. The functional is PBE.

The structure in POSCAR format:
```
PrAl4Pd2
1.0
-0.015 -0.786 -4.302
1.947 -6.275 1.140
-16.770 -5.026 0.978
Pr Al Pd
4 16 8
Direct
0.750 0.990 0.637
0.250 0.010 0.363
0.250 0.490 0.863
0.750 0.510 0.137
0.250 0.277 0.694
0.750 0.723 0.306
0.750 0.777 0.806
0.250 0.223 0.194
0.250 0.677 0.686
0.750 0.323 0.314
0.750 0.177 0.814
0.250 0.823 0.186
0.250 0.182 0.536
0.750 0.818 0.464
0.750 0.682 0.964
0.250 0.318 0.036
0.250 0.495 0.427
0.750 0.505 0.573
0.750 0.995 0.073
0.250 0.005 0.927
0.250 0.749 0.537
0.750 0.251 0.463
0.750 0.249 0.963
0.250 0.751 0.037
0.250 0.975 0.783
0.750 0.025 0.217
0.750 0.475 0.717
0.250 0.525 0.283
```

Calculated values
The calculation puts the formation energy at -0.7438 eV/atom. The calculation puts the energy relative to the lowest polymorph listed for this composition at 0.00 eV/f.u.


This record from Alexandria via LeMat-Bulk describes crystalline Tl2TePb at its relaxed geometry. The functional is PBE.

The structure in POSCAR format:
```
Tl2TePb
1.0
-1.875 -3.475 -5.332
4.379 -4.014 -2.956
-2.212 1.220 6.135
Pb Tl Te
1 2 1
Direct
0.750 0.250 0.500
0.999 0.999 0.000
0.501 0.501 0.000
0.250 0.750 0.500
```

Calculated values
As for the formation energy without anion corrections: -0.1480 eV/atom. The calculation puts the energy relative to the lowest polymorph listed for this composition at 0.00 eV/f.u.


This record from Alexandria via LeMat-Bulk describes crystalline BaAl2F7 at its relaxed geometry. The functional is PBE.

The structure in POSCAR format:
```
BaAl2F7
1.0
-0.177 2.353 -2.697
2.599 -4.887 -4.435
-6.881 1.045 1.363
Ba Al F
1 2 7
Direct
0.000 0.000 0.000
0.500 0.646 0.354
0.500 0.354 0.646
0.000 0.683 0.317
0.000 0.317 0.683
0.500 0.089 0.362
0.500 0.911 0.638
0.500 0.362 0.089
0.500 0.638 0.911
0.500 0.500 0.500
```

Calculated values
As for the formation energy without anion corrections: -3.2169 eV/atom.


This record from Alexandria via LeMat-Bulk describes crystalline CsPHF2 at its relaxed geometry. The functional is PBE.

The structure in POSCAR format:
```
CsPHF2
1.0
3.996 0.000 0.000
0.000 7.707 0.000
0.000 0.000 3.996
Cs P H F
1 1 1 2
Direct
0.000 0.500 0.000
0.000 0.000 0.000
0.500 0.500 0.500
0.000 0.000 0.500
0.500 0.000 0.000
```


no.,uncorrected energy (eV per atom)
1,-3.020
2,-4.596
3,-6.608
4,-5.665
5,-5.049
6,-3.044
7,-5.468
8,-3.413